(1)
First-principles (PBE) data for a geometry-optimized RbAg2H4 structure, as listed in Alexandria.

DOS at the Fermi energy = 1.26 states/eV/cell
final energy = -0.1992 Ry per atom
magnetic moment = 0.000 μB per cell

Cell lengths 3.5278, 3.8709, 7.6094 Å; angles 75.40, 89.77, 89.82 degrees
Last column: nearest neighbours and their distance in Å.
Space group P-1 (No. 2)
Inequivalent atoms, fractional coordinates:
Rb 0.0000 0.0000 0.0000 [1 per cell]  4 H 2.78
Ag 0.4989 0.3232 0.3528 [2 per cell]  4 H 1.86-1.94
H 0.9999 0.3648 0.2709 [2 per cell]  2 Ag 1.86-1.87
H 0.4987 0.8198 0.3599 [2 per cell]  3 Ag 1.94-2.12


(2)
First-principles (PBE) data for a geometry-optimized SrBe2NbIr structure, as listed in Alexandria.

DOS at the Fermi energy = 5.38 states/eV/cell
formation energy from the elements = 2.680 eV per atom
magnetic moment = 0.000 μB per cell

Cell lengths 4.4176, 4.4176, 4.8389 Å; angles 90.00, 90.00, 90.00 degrees
Last column: nearest neighbours and their distance in Å.
Space group P4/mmm (No. 123)
Inequivalent atoms, fractional coordinates:
Sr 0.0000 0.0000 0.0000 [1 per cell]  4 Be 2.21, 2 Nb 2.42
Be 0.0000 0.5000 0.0000 [2 per cell]  2 Sr 2.21
Nb 0.0000 0.0000 0.5000 [1 per cell]  2 Sr 2.42
Ir 0.5000 0.5000 0.5000 [1 per cell]  4 Nb 3.12, 8 Be 3.28


(3)
First-principles (PBE) data for a geometry-optimized Cs2Bi2I7 structure, as listed in Alexandria.

DOS at the Fermi energy = 6.23 states/eV/cell
magnetic moment = 0.000 μB per cell
formation energy from raw total energies = -71.72 kJ/mol of atoms

Cell lengths 10.8474, 18.6600, 7.0866 Å; angles 90.00, 101.95, 90.00 degrees
Last column: nearest neighbours and their distance in Å.
Space group C2/m (No. 12)
Inequivalent atoms, fractional coordinates:
Cs 0.0000 0.2048 0.0000 [4 per cell]  6 I 3.85-4.24
Bi 0.2433 0.0000 0.6347 [4 per cell]  4 I 2.90-3.12
I 0.0000 0.5000 0.5000 [2 per cell]  2 Bi 3.12
I 0.0799 0.0000 0.2544 [4 per cell]  1 Bi 2.90
I 0.2450 0.3383 0.2875 [8 per cell]  1 Bi 3.07